PuPa2P4 after structural relaxation, computed with PBE-GGA.

Output
Fermi-level density of states, states/eV/atom: 1.20
SG: No. 122
Energy of formation from the pure elements, eV per atom: -1.196
Calculated density, g/cm3: 9.69
Energy above the lowest structure with this stoichiometry, kJ/mol of atoms: 0.0

abc: 7.177 7.177 7.177
angles: 109.18 109.18 110.05
Element x y z (fractional)
Pu1 0.000 0.000 0.000
Pu2 0.750 0.250 0.500
Pa1 0.246 0.125 0.621
Pa2 0.375 0.754 0.879
Pa3 0.504 0.625 0.379
Pa4 0.875 0.496 0.121
P1 0.127 0.379 0.410
P2 0.129 0.377 0.910
P3 0.283 0.873 0.252
P4 0.467 0.219 0.090
P5 0.621 0.031 0.748
P6 0.623 0.533 0.752
P7 0.781 0.871 0.248
P8 0.969 0.717 0.590